No. 1
{
  "formula": "Dy3Tm5Th",
  "functional": "PBE",
  "state": "optimized geometry",
  "lattice_angstrom": [[-3.117, 2.668, 5.559], [-7.622, -5.630, -1.572], [7.208, -3.111, 5.534]],
  "species": ["Tm", "Tm", "Tm", "Tm", "Dy", "Tm", "Dy", "Dy", "Tm", "Th", "Dy", "Dy", "Tm", "Dy", "Tm", "Tm", "Tm", "Th"],
  "frac_coords": [[0.500, 0.667, 0.333], [0.250, 0.331, 0.000], [0.250, 0.000, 0.331], [0.250, 0.669, 0.669], [0.250, 0.000, 0.664], [0.500, 0.333, 0.667], [0.250, 0.664, 0.000], [0.250, 0.336, 0.336], [0.750, 0.331, 0.331], [0.500, 0.000, 0.000], [0.750, 0.000, 0.336], [0.750, 0.336, 0.000], [0.750, 0.669, 0.000], [0.750, 0.664, 0.664], [0.000, 0.667, 0.333], [0.750, 0.000, 0.669], [0.000, 0.333, 0.667], [0.000, 0.000, 0.000]],
  "e_tot_ev_per_atom": -4.78,
  "magmom_total_mub_per_cell": 0.0
}

No. 2
{
  "formula": "ErTe2O8",
  "functional": "PBE",
  "state": "optimized geometry",
  "lattice_angstrom": [[-1.625, -3.738, -3.158], [4.415, -2.554, 0.751], [-3.618, 0.544, 5.427]],
  "species": ["O", "Te", "O", "O", "O", "O", "O", "O", "Er", "O", "Te"],
  "frac_coords": [[0.930, 0.827, 0.269], [0.750, 0.250, 0.500], [0.442, 0.930, 0.269], [0.070, 0.558, 0.731], [0.558, 0.661, 0.731], [0.827, 0.339, 0.269], [0.173, 0.070, 0.731], [0.661, 0.173, 0.731], [0.500, 0.500, 0.000], [0.339, 0.442, 0.269], [0.250, 0.750, 0.500]],
  "magmom_total_mub_per_cell": 0.0,
  "formation_energy_uncorrected_ev_per_atom": -1.080
}